Here is an optimized crystal structure of IrRu2W2 from Alexandria via LeMat-Bulk. Energies are from PBE-GGA.

Cell and atoms, written as POSCAR:
```
IrRu2W2
1.0
-2.272 -4.059 -1.114
2.868 -3.109 2.272
-1.677 -1.768 3.043
Ru Ir W
2 1 2
Direct
0.598 0.700 0.601
0.402 0.300 0.399
0.000 0.500 0.000
0.793 0.115 0.796
0.207 0.885 0.204
```

Output
DFT formation energy ... -4 kJ per mole of atoms
Crystal system ... monoclinic

Here is an optimized crystal structure of La4NdSm6 from Alexandria via LeMat-Bulk. Energies are from PBE-GGA.

Cell and atoms, written as POSCAR:
```
La4NdSm6
1.0
-7.530 1.708 0.127
-0.683 -2.471 -7.284
2.724 -5.879 5.832
Sm La Nd
6 4 1
Direct
0.085 0.085 0.628
0.457 0.915 0.372
0.500 0.000 0.000
0.000 0.500 0.000
0.543 0.543 0.628
0.915 0.457 0.372
0.901 0.901 0.156
0.255 0.255 0.156
0.745 0.099 0.844
0.099 0.745 0.844
0.500 0.500 0.000
```

Output
DFT formation energy ... 37 kJ per mole of atoms
Crystal system ... tetragonal

Number 1: polymorph energy (0 for the lowest one) 0.000 eV per atom, total DFT energy (no corrections) -10.704 eV per atom. Number 2: polymorph energy (0 for the lowest one) 0.100 eV per atom, total DFT energy (no corrections) -4.421 eV per atom.